Model 1:
A plane-wave DFT calculation with PBE was carried out for a relaxed structure of CaTlGa3.

Output
Total moment, μB/atom: 0.000

a = 5.397 Å, b = 5.397 Å, c = 5.397 Å
α = 90.00°, β = 90.00°, γ = 90.00°
Element x y z (fractional)
Ca: 0.000 0.000 0.000
Tl: 0.500 0.500 0.500
Ga: 0.000 0.500 0.500
Ga: 0.500 0.000 0.500
Ga: 0.500 0.500 0.000

---

Model 2:
A plane-wave DFT calculation with PBE was carried out for a relaxed structure of CaTlGa3.

Output
Total moment, μB/atom: 0.000

a = 5.618 Å, b = 5.618 Å, c = 5.618 Å
α = 90.00°, β = 90.00°, γ = 90.00°
Element x y z (fractional)
Ca: 0.000 0.000 0.000
Tl: 0.500 0.500 0.500
Ga: 0.000 0.000 0.500
Ga: 0.000 0.500 0.000
Ga: 0.500 0.000 0.000

---

Most stable pick: model 1. Distance to second place: 0.232 eV/atom.

---

Model 1:
A plane-wave DFT calculation with PBE was carried out for a relaxed structure of CaTm2Ga.

Output
Total moment, μB/atom: 0.000

a = 3.539 Å, b = 3.539 Å, c = 9.164 Å
α = 90.00°, β = 90.00°, γ = 90.00°
Element x y z (fractional)
Ca: 0.000 0.000 0.000
Tm: 0.500 0.500 0.311
Tm: 0.500 0.500 0.689
Ga: 0.000 0.000 0.500

---

Model 2:
A plane-wave DFT calculation with PBE was carried out for a relaxed structure of CaTm2Ga.

Output
Total moment, μB/atom: 0.000

a = 6.431 Å, b = 6.431 Å, c = 6.431 Å
α = 44.63°, β = 44.63°, γ = 44.63°
Element x y z (fractional)
Ca: 0.000 0.000 0.000
Tm: 0.220 0.220 0.220
Tm: 0.780 0.780 0.780
Ga: 0.500 0.500 0.500

---

Most stable pick: model 1. Distance to second place: 0.204 eV/atom.

---

Model 1:
A plane-wave DFT calculation with PBE was carried out for a relaxed structure of Ca3GaW.

Output
Total moment, μB/atom: 0.969

a = 5.624 Å, b = 5.624 Å, c = 5.624 Å
α = 90.00°, β = 90.00°, γ = 90.00°
Element x y z (fractional)
Ca: 0.000 0.000 0.500
Ca: 0.000 0.500 0.000
Ca: 0.500 0.000 0.000
Ga: 0.000 0.000 0.000
W: 0.500 0.500 0.500

---

Model 2:
A plane-wave DFT calculation with PBE was carried out for a relaxed structure of Ca3GaW.

Output
Total moment, μB/atom: 0.177

a = 5.530 Å, b = 5.530 Å, c = 5.530 Å
α = 90.00°, β = 90.00°, γ = 90.00°
Element x y z (fractional)
Ca: 0.000 0.000 0.500
Ca: 0.000 0.500 0.000
Ca: 0.500 0.000 0.000
Ga: 0.500 0.500 0.500
W: 0.000 0.000 0.000

---

Most stable pick: model 2. Distance to second place: 0.019 eV/atom.

---

Model 1:
A plane-wave DFT calculation with PBE was carried out for a relaxed structure of CaYGa.

Output
Total moment, μB/atom: 0.000

a = 5.166 Å, b = 5.166 Å, c = 6.969 Å
α = 90.00°, β = 90.00°, γ = 120.00°
Element x y z (fractional)
Ca: 0.000 0.000 0.000
Ca: 0.333 0.667 0.237
Y: 0.000 0.000 0.497
Y: 0.667 0.333 0.748
Ga: 0.333 0.667 0.737
Ga: 0.667 0.333 0.278

---

Model 2:
A plane-wave DFT calculation with PBE was carried out for a relaxed structure of CaYGa.

Output
Total moment, μB/atom: 0.000

a = 6.557 Å, b = 6.557 Å, c = 8.814 Å
α = 123.33°, β = 123.33°, γ = 33.87°
Element x y z (fractional)
Ca: 0.089 0.089 0.361
Ca: 0.911 0.911 0.639
Y: 0.334 0.334 0.935
Y: 0.666 0.666 0.065
Ga: 0.374 0.374 0.327
Ga: 0.626 0.626 0.673

---

Model 3:
A plane-wave DFT calculation with PBE was carried out for a relaxed structure of CaYGa.

Output
Total moment, μB/atom: 0.000

a = 3.606 Å, b = 6.867 Å, c = 7.356 Å
α = 104.92°, β = 90.04°, γ = 105.22°
Element x y z (fractional)
Ca: 0.139 0.277 0.073
Ca: 0.861 0.723 0.927
Y: 0.136 0.274 0.561
Y: 0.864 0.726 0.439
Ga: 0.496 0.991 0.251
Ga: 0.504 0.009 0.749

---

Model 4:
A plane-wave DFT calculation with PBE was carried out for a relaxed structure of CaYGa.

Output
Total moment, μB/atom: 0.000

a = 5.017 Å, b = 5.017 Å, c = 7.428 Å
α = 90.00°, β = 90.00°, γ = 90.00°
Element x y z (fractional)
Ca: 0.250 0.250 0.201
Ca: 0.750 0.750 0.799
Y: 0.250 0.250 0.688
Y: 0.750 0.750 0.312
Ga: 0.250 0.750 0.500
Ga: 0.750 0.250 0.500

---

Most stable pick: model 1. Distance to second place: 0.041 eV/atom.

---

Model 1:
A plane-wave DFT calculation with PBE was carried out for a relaxed structure of CaYGa.

Output
Total moment, μB/atom: 0.000

a = 3.617 Å, b = 3.617 Å, c = 13.141 Å
α = 90.00°, β = 90.00°, γ = 90.11°
Element x y z (fractional)
Ca: 0.000 0.000 0.000
Ca: 0.500 0.500 0.238
Y: 0.000 0.000 0.457
Y: 0.000 0.000 0.725
Ga: 0.500 0.500 0.586
Ga: 0.500 0.500 0.857

---

Model 2:
A plane-wave DFT calculation with PBE was carried out for a relaxed structure of CaYGa.

Output
Total moment, μB/atom: 0.000

a = 9.254 Å, b = 9.254 Å, c = 5.268 Å
α = 94.77°, β = 94.77°, γ = 21.81°
Element x y z (fractional)
Ca: 0.203 0.203 0.237
Ca: 0.797 0.797 0.763
Y: 0.077 0.077 0.709
Y: 0.923 0.923 0.291
Ga: 0.441 0.441 0.812
Ga: 0.559 0.559 0.188

---

Most stable pick: model 1. Distance to second place: 0.047 eV/atom.

---

Model 1:
A plane-wave DFT calculation with PBE was carried out for a relaxed structure of CaYGa3.

Output
Total moment, μB/atom: 0.000

a = 13.272 Å, b = 13.272 Å, c = 4.286 Å
α = 90.00°, β = 90.00°, γ = 162.03°
Element x y z (fractional)
Ca: 0.075 0.925 0.750
Ca: 0.925 0.075 0.250
Y: 0.206 0.794 0.250
Y: 0.794 0.206 0.750
Ga: 0.322 0.678 0.250
Ga: 0.380 0.620 0.750
Ga: 0.476 0.524 0.750
Ga: 0.524 0.476 0.250
Ga: 0.620 0.380 0.250
Ga: 0.678 0.322 0.750

---

Model 2:
A plane-wave DFT calculation with PBE was carried out for a relaxed structure of CaYGa3.

Output
Total moment, μB/atom: 0.000

a = 5.422 Å, b = 5.422 Å, c = 5.422 Å
α = 90.00°, β = 90.00°, γ = 90.00°
Element x y z (fractional)
Ca: 0.000 0.000 0.000
Y: 0.500 0.500 0.500
Ga: 0.000 0.500 0.500
Ga: 0.500 0.000 0.500
Ga: 0.500 0.500 0.000

---

Most stable pick: model 1. Distance to second place: 0.786 eV/atom.